First-principles (PBE-GGA) data for a relaxed structure of ZrTa2Os, as listed in the Alexandria database.

Results
* total moment: 0.00 μB per atom
* VASP energy: -10.763 eV per atom

Unit cell a=3.0774 b=3.0774 c=27.1805 alpha=90.00 beta=90.00 gamma=120.00
Closest atoms and distances in Å follow each position.
Space group R3m (No. 160, hexagonal axes)
Symmetry-distinct sites (fractional):
Zr1 0.0000 0.0000 0.0000 (multiplicity 3)  3 Os 2.88, 3 Ta 3.06, 6 Zr 3.08
Ta1 0.0000 0.0000 0.2418 (multiplicity 3)  9 Ta 2.93-3.08, 3 Zr 3.06
Ta2 0.0000 0.0000 0.4895 (multiplicity 3)  3 Os 2.66, 3 Ta 2.93
Os1 0.0000 0.0000 0.7498 (multiplicity 3)  3 Ta 2.66, 3 Zr 2.88


First-principles (PBE-GGA) data for a relaxed structure of ZrTaOs2, as listed in the Alexandria database.

Results
* total moment: 0.00 μB per atom
* VASP energy: -10.776 eV per atom

Unit cell a=3.2646 b=4.7467 c=8.7299 alpha=90.00 beta=90.00 gamma=90.00
Closest atoms and distances in Å follow each position.
Space group Cmmm (No. 65)
Symmetry-distinct sites (fractional):
Zr1 0.0000 0.0000 0.0000 (multiplicity 2)  4 Os 2.78, 4 Zr 2.88
Ta1 0.0000 0.0000 0.5000 (multiplicity 2)  4 Os 2.67, 4 Ta 2.88
Os1 0.0000 0.5000 0.2585 (multiplicity 4)  2 Ta 2.67, 2 Zr 2.78, 4 Os 2.88


First-principles (PBE-GGA) data for a relaxed structure of ZrTa2Os, as listed in the Alexandria database.

Results
* total moment: 0.00 μB per atom
* VASP energy: -11.043 eV per atom

Unit cell a=6.5755 b=6.5755 c=6.5755 alpha=90.00 beta=90.00 gamma=90.00
Closest atoms and distances in Å follow each position.
Space group F-43m (No. 216)
Symmetry-distinct sites (fractional):
Zr1 0.0000 0.0000 0.0000 (multiplicity 4)  4 Ta 2.85, 4 Os 2.85
Ta1 0.0000 0.0000 0.5000 (multiplicity 4)  4 Ta 2.85, 4 Os 2.85
Ta2 0.2500 0.2500 0.2500 (multiplicity 4)  4 Zr 2.85, 4 Ta 2.85
Os1 0.2500 0.2500 0.7500 (multiplicity 4)  4 Zr 2.85, 4 Ta 2.85


First-principles (PBE-GGA) data for a relaxed structure of ZrTaOs2, as listed in the Alexandria database.

Results
* total moment: 0.00 μB per atom
* VASP energy: -10.041 eV per atom

Unit cell a=2.8614 b=4.8805 c=10.4032 alpha=90.00 beta=90.00 gamma=90.00
Closest atoms and distances in Å follow each position.
Space group Immm (No. 71)
Symmetry-distinct sites (fractional):
Zr1 0.0000 0.0000 0.0000 (multiplicity 2)  2 Os 2.77, 4 Ta 2.83, 2 Zr 2.86
Ta1 0.0000 0.0000 0.5000 (multiplicity 2)  2 Os 2.43
Os1 0.0000 0.0000 0.2664 (multiplicity 4)  1 Ta 2.43


First-principles (PBE-GGA) data for a relaxed structure of ZrTa2Os, as listed in the Alexandria database.

Results
* total moment: 0.00 μB per atom
* VASP energy: -11.126 eV per atom

Unit cell a=3.2554 b=4.6109 c=9.5921 alpha=90.00 beta=90.00 gamma=90.00
Closest atoms and distances in Å follow each position.
Space group Immm (No. 71)
Symmetry-distinct sites (fractional):
Zr1 0.0000 0.0000 0.0000 (multiplicity 2)  4 Os 2.82, 4 Ta 3.00
Ta1 0.0000 0.5000 0.2378 (multiplicity 4)  2 Os 2.80, 4 Ta 2.83, 2 Zr 3.00
Os1 0.0000 0.0000 0.5000 (multiplicity 2)  4 Ta 2.80, 4 Zr 2.82


First-principles (PBE-GGA) data for a relaxed structure of ZrTa2Os, as listed in the Alexandria database.

Results
* total moment: 0.00 μB per atom
* VASP energy: -11.059 eV per atom

Unit cell a=3.2660 b=4.6078 c=4.7368 alpha=90.00 beta=90.00 gamma=90.00
Closest atoms and distances in Å follow each position.
Space group Pmmm (No. 47)
Symmetry-distinct sites (fractional):
Zr1 0.0000 0.0000 0.0000 (multiplicity 1)  4 Os 2.82, 4 Ta 2.88
Ta1 0.0000 0.5000 0.5000 (multiplicity 1)  4 Ta 2.82, 4 Os 2.88
Ta2 0.5000 0.0000 0.5000 (multiplicity 1)  4 Ta 2.82, 4 Zr 2.88
Os1 0.5000 0.5000 0.0000 (multiplicity 1)  4 Zr 2.82, 4 Ta 2.88